First-principles (GGA-PBE) data for a relaxed Na5Tl4Sn crystal, as listed in Alexandria.

The structure belongs to space group C2/m (No. 12); the cell edges are 17.464, 4.917 and 8.186 Å and the angles 90.00°, 115.69° and 90.00°. The asymmetric unit holds Na at (0.000, 0.000, 0.000), Na at (0.162, 0.500, 0.685), Na at (0.171, 0.500, 0.141), Tl at (0.008, 0.500, 0.259), Tl at (0.170, 0.000, 0.419) and Sn at (0.000, 0.000, 0.500).

For the energy relative to the elements, the calculation gives -0.06 eV per atom. Its energy is -2.07 eV per atom. For the total magnetization, the calculation gives 0.00 Bohr magnetons per cell.